1.
The following is a PBE-GGA calculation of a relaxed structure of Sm7Tm12Cd, from Alexandria.

Geometry as POSCAR:
```
Sm7Tm12Cd
1.0
-5.678 7.033 6.481
-7.828 -5.020 0.540
2.556 -3.568 4.233
Tm Cd Sm
12 1 7
direct
0.705 0.898 0.899
0.853 0.949 0.445
0.295 0.102 0.101
0.950 0.651 0.150
0.401 0.801 0.801
0.599 0.199 0.199
0.050 0.349 0.850
0.347 0.450 0.953
0.198 0.402 0.404
0.802 0.598 0.596
0.653 0.550 0.047
0.147 0.051 0.555
0.000 0.000 0.000
0.553 0.852 0.348
0.901 0.300 0.298
0.752 0.245 0.748
0.248 0.755 0.252
0.447 0.148 0.652
0.500 0.500 0.500
0.099 0.700 0.702
```

Values from the calculation:
**Energy relative to the elements**: 0.01 eV per atom
**DOS at the Fermi energy**: 1.423 states/eV per atom
**VASP energy**: -4.369 eV/atom


2.
The following is a PBE-GGA calculation of a relaxed structure of SmTmCd4, from Alexandria.

Geometry as POSCAR:
```
SmTmCd4
1.0
3.446 0.000 0.000
0.000 5.538 -0.003
0.006 0.004 8.456
Tm Cd Sm
1 4 1
direct
0.001 0.997 0.498
0.501 0.998 0.813
0.001 0.497 0.323
0.502 0.998 0.183
0.002 0.497 0.673
0.501 0.497 0.998
```

Values from the calculation:
**Energy relative to the elements**: -0.06 eV per atom
**DOS at the Fermi energy**: 0.676 states/eV per atom
**VASP energy**: -2.205 eV/atom
**ΔE to the lowest computed polymorph**: 17.84 kJ per mole of atoms


3.
The following is a PBE-GGA calculation of a relaxed structure of Sm6TmCd, from Alexandria.

Geometry as POSCAR:
```
Sm6TmCd
1.0
4.973 0.000 0.000
0.000 4.973 0.000
0.000 0.000 10.157
Sm Cd Tm
6 1 1
direct
0.000 0.500 0.246
0.500 0.500 0.500
0.500 0.000 0.246
0.000 0.500 0.754
0.500 0.000 0.754
0.500 0.500 0.000
0.000 0.000 0.000
0.000 0.000 0.500
```

Values from the calculation:
**Energy relative to the elements**: -0.04 eV per atom
**DOS at the Fermi energy**: 1.378 states/eV per atom
**VASP energy**: -4.250 eV/atom
**ΔE to the lowest computed polymorph**: 0.00 kJ per mole of atoms


4.
The following is a PBE-GGA calculation of a relaxed structure of Sm2Tm3Cd6, from Alexandria.

Geometry as POSCAR:
```
Sm2Tm3Cd6
1.0
4.995 0.000 0.000
0.000 4.995 0.000
-2.498 -2.498 13.747
Cd Sm Tm
6 2 3
direct
0.563 0.063 0.126
0.437 0.937 0.874
0.753 0.753 0.507
0.937 0.437 0.874
0.247 0.247 0.493
0.063 0.563 0.126
0.364 0.364 0.728
0.636 0.636 0.272
0.868 0.868 0.736
0.000 0.000 0.000
0.132 0.132 0.264
```

Values from the calculation:
**Energy relative to the elements**: 0.10 eV per atom
**DOS at the Fermi energy**: 0.794 states/eV per atom
**VASP energy**: -2.473 eV/atom


5.
The following is a PBE-GGA calculation of a relaxed structure of SmTm3Cd6, from Alexandria.

Geometry as POSCAR:
```
SmTm3Cd6
1.0
5.165 0.000 0.000
0.000 8.710 -2.683
0.000 0.176 11.044
Tm Cd Sm
6 12 2
direct
0.250 0.351 0.799
0.750 0.649 0.201
0.250 0.531 0.394
0.750 0.469 0.606
0.250 0.759 0.001
0.750 0.241 0.999
0.250 0.054 0.906
0.250 0.145 0.198
0.750 0.855 0.802
0.750 0.351 0.292
0.250 0.841 0.302
0.750 0.159 0.698
0.250 0.649 0.708
0.250 0.452 0.097
0.750 0.946 0.094
0.750 0.749 0.495
0.250 0.251 0.505
0.750 0.548 0.903
0.750 0.058 0.390
0.250 0.942 0.610
```

Values from the calculation:
**Energy relative to the elements**: -0.28 eV per atom
**DOS at the Fermi energy**: 0.740 states/eV per atom
**VASP energy**: -2.639 eV/atom


6.
The following is a PBE-GGA calculation of a relaxed structure of SmTmCd5, from Alexandria.

Geometry as POSCAR:
```
SmTmCd5
1.0
-0.616 -4.579 -0.202
4.264 -0.496 -1.722
3.161 -0.778 8.058
Cd Tm Sm
5 1 1
direct
0.000 0.000 0.500
0.500 0.000 0.748
0.000 0.500 0.252
0.000 0.500 0.748
0.500 0.000 0.252
0.500 0.500 0.500
0.000 0.000 0.000
```

Values from the calculation:
**Energy relative to the elements**: -0.09 eV per atom
**DOS at the Fermi energy**: 0.451 states/eV per atom
**VASP energy**: -2.056 eV/atom


Question: Among the records above, which one has the highest energy relative to the elements?
Answer: Sm2Tm3Cd6


Question: What is the VASP energy in the sixth record?
Answer: -2.056 eV/atom


Question: What is the DOS at the Fermi energy in the fourth record?
Answer: 0.794 states/eV per atom